Record 1
Density functional theory data (PBE) for crystalline Th2BiPt2 at its relaxed geometry.

The structure belongs to space group P4/mbm (No. 127); the cell edges are 7.979, 7.979 and 3.928 Å and the angles 90.00°, 90.00° and 90.00°. Symmetry generates all atoms from Th at (0.172, 0.328, 0.000), Bi at (0.000, 0.000, 0.500) and Pt at (0.126, 0.626, 0.500).

The crystal system is tetragonal. The calculated total energy is -72.5 eV per cell. The calculation puts the density at 14.12 g/cm³.

***

Record 2
Density functional theory data (PBE) for crystalline Tb6Ce2Y3Er at its relaxed geometry.

The structure belongs to space group C2/m (No. 12); the cell edges are 6.151, 10.654 and 11.783 Å and the angles 90.00°, 100.03° and 90.00°. Symmetry generates all atoms from Tb at (0.248, 0.000, 0.248), Tb at (0.249, 0.168, 0.752), Ce at (0.000, 0.167, 0.000), Y at (0.000, 0.000, 0.500), Y at (0.000, 0.334, 0.500) and Er at (0.000, 0.500, 0.000).

The crystal system is monoclinic. The calculated total energy is -126.0 eV per cell. The calculation puts the density at 7.28 g/cm³.

***

Record 3
Density functional theory data (PBE) for crystalline HfThTaC3 at its relaxed geometry.

The structure belongs to space group P2_1/m (No. 11); the cell edges are 5.833, 3.453 and 8.709 Å and the angles 90.00°, 102.70° and 90.00°. Symmetry generates all atoms from Hf at (0.233, 0.250, 0.455), Th at (0.352, 0.750, 0.805), Ta at (0.131, 0.750, 0.141), C at (0.037, 0.250, 0.657), C at (0.229, 0.250, 0.019) and C at (0.434, 0.750, 0.339).

The crystal system is monoclinic. The calculated total energy is -120.0 eV per cell. The calculation puts the density at 12.18 g/cm³.

***

Record 4
Density functional theory data (PBE) for crystalline NiOsRh2 at its relaxed geometry.

The structure belongs to space group P4/mmm (No. 123); the cell edges are 2.705, 2.705 and 7.397 Å and the angles 90.00°, 90.00° and 90.00°. Symmetry generates all atoms from Ni at (0.000, 0.000, 0.000), Os at (0.000, 0.000, 0.500) and Rh at (0.500, 0.500, 0.246).

The crystal system is tetragonal. The calculated total energy is -31.5 eV per cell. The energy above the most stable polymorph in this dataset is 0.54 kJ/mol of atoms. The calculation puts the density at 13.95 g/cm³.